Record 1
A plane-wave DFT calculation with GGA-PBE was carried out for an optimized crystal structure of Ce2PmRh.

Geometry as POSCAR:
```
Ce2PmRh
1.0
14.1632 0.0000 0.0000
0.0000 9.8551 0.0000
0.0000 0.0000 6.1266
Ce Pm Rh
16 8 8
Direct
0.0360 0.0547 0.2479
0.0360 0.4453 0.2479
0.2134 0.5590 0.9358
0.2134 0.9410 0.9358
0.2866 0.0590 0.4358
0.2866 0.4410 0.4358
0.4640 0.5547 0.7479
0.4640 0.9453 0.7479
0.5360 0.0547 0.2521
0.5360 0.4453 0.2521
0.7134 0.5590 0.5642
0.7134 0.9410 0.5642
0.7866 0.0590 0.0642
0.7866 0.4410 0.0642
0.9640 0.5547 0.7521
0.9640 0.9453 0.7521
0.1042 0.2500 0.7380
0.1424 0.7500 0.4482
0.3576 0.2500 0.9482
0.3958 0.7500 0.2380
0.6042 0.2500 0.7620
0.6424 0.7500 0.0518
0.8576 0.2500 0.5518
0.8958 0.7500 0.2620
0.0716 0.7500 0.9664
0.1757 0.2500 0.2283
0.3243 0.7500 0.7283
0.4284 0.2500 0.4664
0.5716 0.7500 0.5336
0.6757 0.2500 0.2717
0.8243 0.7500 0.7717
0.9284 0.2500 0.0336
```

## Properties
Symmetry: No. 62
Formation energy, eV per atom: -0.378
M_tot, μB/f.u.: 0.9

***

Record 2
A plane-wave DFT calculation with GGA-PBE was carried out for an optimized crystal structure of LaScPb.

Geometry as POSCAR:
```
LaScPb
1.0
3.5363 0.0000 0.0000
-1.7681 3.0625 0.0000
0.0000 0.0000 8.2544
La Sc Pb
1 1 1
Direct
0.0000 0.0000 0.0000
0.3333 0.6667 0.6535
0.6667 0.3333 0.3517
```

## Properties
Symmetry: No. 156
Formation energy, eV per atom: -0.124
M_tot, μB/f.u.: 0.4

***

Record 3
A plane-wave DFT calculation with GGA-PBE was carried out for an optimized crystal structure of Tb2PaN3.

Geometry as POSCAR:
```
Tb2PaN3
1.0
6.6221 -1.7248 0.0000
6.6221 1.7248 0.0000
-2.8414 0.0000 8.0824
Tb Pa N
4 2 6
Direct
0.1699 0.1699 0.3367
0.3284 0.3284 0.1631
0.6716 0.6716 0.8369
0.8301 0.8301 0.6633
0.0000 0.0000 0.5000
0.5000 0.5000 0.0000
0.0264 0.0264 0.8047
0.3166 0.3166 0.8684
0.3710 0.3710 0.4766
0.6290 0.6290 0.5234
0.6834 0.6834 0.1316
0.9736 0.9736 0.1953
```

## Properties
Formation energy (no corrections), meV per atom: -1286.2
Symmetry: No. 12
M_tot, μB/f.u.: 0.0

***

Number 1: energy above the most stable polymorph in this dataset 0 meV per atom. Number 2: energy above the most stable polymorph in this dataset 356 meV per atom. Number 3: energy above the most stable polymorph in this dataset 398 meV per atom.